No. 1
Sm4DyTh5 | PBE | optimized geometry

Lattice parameters (Å, degrees): 3.462 11.310 9.017 72.64 101.07 90.00
Sites, in units of the cell vectors:
Sm (0.303, 0.093, 0.606)
Sm (0.908, 0.804, 0.815)
Sm (0.697, 0.907, 0.394)
Sm (0.092, 0.196, 0.185)
Dy (0.500, 0.000, 0.000)
Th (0.803, 0.592, 0.606)
Th (0.891, 0.295, 0.783)
Th (0.109, 0.705, 0.217)
Th (0.500, 0.500, 0.000)
Th (0.197, 0.408, 0.394)

Computed properties:
ΔH_f (0 K): 13.0 kJ per mole of atoms
space-group type: C2/m



No. 2
AlReRu2 | PBE | optimized geometry

Lattice parameters (Å, degrees): 5.128 5.128 5.128 146.68 129.64 61.73
Sites, in units of the cell vectors:
Re (0.258, 0.758, 0.500)
Al (0.503, 0.503, 0.000)
Ru (0.006, 0.006, 0.000)
Ru (0.734, 0.234, 0.500)

Computed properties:
ΔH_f (0 K): -15.0 kJ per mole of atoms
space-group type: Imm2



No. 3
PrHfPd2 | PBE | optimized geometry

Lattice parameters (Å, degrees): 4.609 4.609 5.608 65.74 65.74 60.00
Sites, in units of the cell vectors:
Pr (0.500, 0.500, 0.500)
Hf (0.000, 0.000, 0.000)
Pd (0.712, 0.712, 0.864)
Pd (0.288, 0.288, 0.136)

Computed properties:
ΔH_f (0 K): -61.7 kJ per mole of atoms
space-group type: R-3m



No. 4
LiSmThRh | PBE | optimized geometry

Lattice parameters (Å, degrees): 5.069 5.069 5.069 60.00 60.00 60.00
Sites, in units of the cell vectors:
Rh (0.500, 0.500, 0.500)
Sm (0.250, 0.250, 0.250)
Th (0.750, 0.750, 0.750)
Li (0.000, 0.000, 0.000)

Computed properties:
ΔH_f (0 K): -28.6 kJ per mole of atoms
space-group type: F-43m



No. 5
Ca2Zn3GaGe4 | PBE | optimized geometry

Lattice parameters (Å, degrees): 4.375 4.375 10.580 90.00 90.00 90.00
Sites, in units of the cell vectors:
Ca (0.500, 0.000, 0.247)
Ca (0.000, 0.500, 0.753)
Zn (0.000, 0.000, 0.500)
Zn (0.500, 0.000, 0.866)
Zn (0.000, 0.500, 0.134)
Ga (0.500, 0.500, 0.500)
Ge (0.500, 0.500, 0.000)
Ge (0.000, 0.000, 0.000)
Ge (0.500, 0.000, 0.635)
Ge (0.000, 0.500, 0.365)

Computed properties:
ΔH_f (0 K): -29.5 kJ per mole of atoms
space-group type: P-4m2



No. 6
Mg2AsSe | PBE | optimized geometry

Lattice parameters (Å, degrees): 6.354 6.354 7.058 63.25 63.25 90.00
Sites, in units of the cell vectors:
As (0.500, 0.500, 0.000)
As (0.250, 0.750, 0.500)
Mg (0.635, 0.125, 0.250)
Mg (0.115, 0.625, 0.250)
Mg (0.375, 0.365, 0.750)
Mg (0.875, 0.885, 0.750)
Se (0.000, 0.000, 0.000)
Se (0.750, 0.250, 0.500)

Computed properties:
space-group type: I-42d
raw total energy: -3.44 eV/atom



No. 7
YNb2AgBr | PBE | optimized geometry

Lattice parameters (Å, degrees): 4.821 5.093 4.821 90.00 90.00 90.00
Sites, in units of the cell vectors:
Y (0.500, 0.500, 0.500)
Nb (0.000, 0.000, 0.500)
Nb (0.500, 0.000, 0.000)
Br (0.000, 0.000, 0.000)
Ag (0.000, 0.500, 0.000)

Computed properties:
space-group type: P4/mmm
raw total energy: -5.43 eV/atom



No. 8
InAg2Ir | PBE | optimized geometry

Lattice parameters (Å, degrees): 3.121 3.121 7.336 90.00 90.00 90.00
Sites, in units of the cell vectors:
Ir (0.500, 0.500, 0.745)
Ag (0.000, 0.000, 0.991)
Ag (0.500, 0.500, 0.243)
In (0.000, 0.000, 0.522)

Computed properties:
ΔH_f (0 K): 14.4 kJ per mole of atoms
space-group type: P4mm



No. 9
SrHgCl | PBE | optimized geometry

Lattice parameters (Å, degrees): 5.316 5.316 5.316 60.00 60.00 60.00
Sites, in units of the cell vectors:
Cl (0.000, 0.000, 0.000)
Hg (0.500, 0.500, 0.500)
Sr (0.750, 0.750, 0.750)

Computed properties:
space-group type: F-43m
raw total energy: -2.25 eV/atom



No. 10
RbY2Al2 | PBE | optimized geometry

Lattice parameters (Å, degrees): 9.414 9.414 3.295 90.00 90.00 90.00
Sites, in units of the cell vectors:
Y (0.373, 0.873, 0.000)
Y (0.873, 0.627, 0.000)
Y (0.627, 0.127, 0.000)
Y (0.127, 0.373, 0.000)
Al (0.168, 0.668, 0.500)
Al (0.668, 0.832, 0.500)
Al (0.832, 0.332, 0.500)
Al (0.332, 0.168, 0.500)
Rb (0.000, 0.000, 0.000)
Rb (0.500, 0.500, 0.000)

Computed properties:
ΔH_f (0 K): -0.4 kJ per mole of atoms
space-group type: P4/mbm



No. 11
AcPm2Pr4 | PBE | optimized geometry

Lattice parameters (Å, degrees): 5.950 9.570 9.570 90.00 90.00 90.00
Sites, in units of the cell vectors:
Ac (0.500, 0.000, 0.000)
Ac (0.000, 0.500, 0.500)
Pm (0.000, 0.197, 0.803)
Pm (0.000, 0.803, 0.197)
Pm (0.500, 0.697, 0.697)
Pm (0.500, 0.303, 0.303)
Pr (0.000, 0.129, 0.390)
Pr (0.000, 0.871, 0.610)
Pr (0.500, 0.110, 0.629)
Pr (0.500, 0.890, 0.371)
Pr (0.500, 0.371, 0.890)
Pr (0.500, 0.629, 0.110)
Pr (0.000, 0.390, 0.129)
Pr (0.000, 0.610, 0.871)

Computed properties:
ΔH_f (0 K): 19.6 kJ per mole of atoms
space-group type: P4_2/mnm



No. 12
AlZnW2 | PBE | optimized geometry

Lattice parameters (Å, degrees): 5.133 5.133 5.133 142.85 130.27 63.68
Sites, in units of the cell vectors:
Zn (0.750, 0.250, 0.500)
Al (0.250, 0.750, 0.500)
W (0.000, 0.000, 0.000)
W (0.500, 0.500, 0.000)

Computed properties:
ΔH_f (0 K): 14.5 kJ per mole of atoms
space-group type: Immm



No. 13
Pr8Tl2Rh | PBE | optimized geometry

Lattice parameters (Å, degrees): 5.202 7.135 9.994 100.49 105.08 90.00
Sites, in units of the cell vectors:
Pr (0.410, 0.537, 0.820)
Pr (0.645, 0.987, 0.291)
Pr (0.792, 0.688, 0.584)
Pr (0.985, 0.224, 0.969)
Pr (0.208, 0.312, 0.416)
Pr (0.355, 0.013, 0.709)
Pr (0.590, 0.463, 0.180)
Pr (0.015, 0.776, 0.031)
Tl (0.814, 0.246, 0.628)
Tl (0.186, 0.754, 0.372)
Rh (0.500, 0.000, 0.000)

Computed properties:
ΔH_f (0 K): -24.2 kJ per mole of atoms
space-group type: C2/m



No. 14
Nb2GaAsOs | PBE | optimized geometry

Lattice parameters (Å, degrees): 4.901 4.658 4.901 90.00 90.00 90.00
Sites, in units of the cell vectors:
Nb (0.000, 0.000, 0.500)
Nb (0.500, 0.000, 0.000)
Os (0.000, 0.000, 0.000)
As (0.500, 0.500, 0.500)
Ga (0.000, 0.500, 0.000)

Computed properties:
ΔH_f (0 K): 73.9 kJ per mole of atoms
space-group type: P4/mmm



No. 15
Fe2CuBr | PBE | optimized geometry

Lattice parameters (Å, degrees): 3.208 3.208 6.145 90.00 90.00 90.01
Sites, in units of the cell vectors:
Br (0.500, 0.500, 0.250)
Cu (0.500, 0.500, 0.750)
Fe (0.000, 0.000, 0.939)
Fe (0.000, 0.000, 0.561)

Computed properties:
space-group type: P4/mmm
raw total energy: -5.18 eV/atom



No. 16
LaSm2Y | PBE | optimized geometry

Lattice parameters (Å, degrees): 3.648 8.153 6.276 129.92 90.00 102.93
Sites, in units of the cell vectors:
La (0.000, 0.000, 0.500)
Sm (0.249, 0.499, 0.249)
Sm (0.751, 0.501, 0.751)
Y (0.500, 0.000, 0.000)

Computed properties:
ΔH_f (0 K): 1.7 kJ per mole of atoms
space-group type: C2/m



No. 17
HfNi3Sb | PBE | optimized geometry

Lattice parameters (Å, degrees): 4.535 4.535 4.535 90.00 90.00 90.00
Sites, in units of the cell vectors:
Sb (0.000, 0.000, 0.000)
Hf (0.500, 0.500, 0.500)
Ni (0.000, 0.500, 0.000)
Ni (0.000, 0.000, 0.500)
Ni (0.500, 0.000, 0.000)

Computed properties:
space-group type: Pm-3m
raw total energy: -5.68 eV/atom



No. 18
Rb4NdPa3S12 | PBE | optimized geometry

Lattice parameters (Å, degrees): 9.255 9.255 9.255 109.47 109.47 109.47
Sites, in units of the cell vectors:
Rb (0.500, 0.500, 0.500)
Rb (0.000, 0.000, 0.500)
Rb (0.500, 0.000, 0.000)
Rb (0.000, 0.500, 0.000)
Nd (0.000, 0.000, 0.000)
Pa (0.500, 0.000, 0.500)
Pa (0.500, 0.500, 0.000)
Pa (0.000, 0.500, 0.500)
S (0.250, 0.500, 0.750)
S (0.740, 0.000, 0.740)
S (0.260, 0.000, 0.260)
S (0.750, 0.500, 0.250)
S (0.740, 0.740, 0.000)
S (0.260, 0.260, 0.000)
S (0.750, 0.250, 0.500)
S (0.250, 0.750, 0.500)
S (0.500, 0.250, 0.750)
S (0.000, 0.740, 0.740)
S (0.500, 0.750, 0.250)
S (0.000, 0.260, 0.260)

Computed properties:
space-group type: Im-3m
raw total energy: -5.80 eV/atom



No. 19
NaZn6 | PBE | optimized geometry

Lattice parameters (Å, degrees): 6.095 6.095 6.095 109.47 109.47 109.47
Sites, in units of the cell vectors:
Na (0.000, 0.000, 0.000)
Zn (0.250, 0.750, 0.500)
Zn (0.500, 0.750, 0.250)
Zn (0.250, 0.500, 0.750)
Zn (0.750, 0.250, 0.500)
Zn (0.500, 0.250, 0.750)
Zn (0.750, 0.500, 0.250)

Computed properties:
ΔH_f (0 K): 28.3 kJ per mole of atoms
space-group type: Im-3m



No. 20
AsRuCl2 | PBE | optimized geometry

Lattice parameters (Å, degrees): 3.130 3.130 11.825 90.00 90.00 124.95
Sites, in units of the cell vectors:
Ru (0.500, 0.500, 0.250)
As (0.500, 0.500, 0.750)
Cl (0.000, 0.000, 0.093)
Cl (0.000, 0.000, 0.407)

Computed properties:
space-group type: Cmmm
raw total energy: -4.09 eV/atom



No. 21
TlAg3 | PBE | optimized geometry

Lattice parameters (Å, degrees): 5.320 5.320 3.078 90.00 90.00 112.08
Sites, in units of the cell vectors:
Tl (0.000, 0.000, 0.000)
Ag (0.000, 0.500, 0.500)
Ag (0.500, 0.000, 0.500)
Ag (0.500, 0.500, 0.000)

Computed properties:
ΔH_f (0 K): 11.2 kJ per mole of atoms
space-group type: Cmmm



No. 22
FeMo2Cl | PBE | optimized geometry

Lattice parameters (Å, degrees): 5.160 5.160 5.160 148.34 129.16 61.14
Sites, in units of the cell vectors:
Mo (0.015, 0.015, 0.000)
Mo (0.725, 0.225, 0.500)
Fe (0.268, 0.768, 0.500)
Cl (0.492, 0.492, 0.000)

Computed properties:
space-group type: Imm2
raw total energy: -7.43 eV/atom



No. 23
Rb8SbH2 | PBE | optimized geometry

Lattice parameters (Å, degrees): 8.372 8.372 8.302 90.00 90.00 90.00
Sites, in units of the cell vectors:
Rb (0.748, 0.748, 0.238)
Rb (0.748, 0.252, 0.762)
Rb (0.748, 0.748, 0.762)
Rb (0.748, 0.252, 0.238)
Rb (0.252, 0.748, 0.238)
Rb (0.252, 0.748, 0.762)
Rb (0.252, 0.252, 0.238)
Rb (0.252, 0.252, 0.762)
Sb (0.500, 0.500, 0.500)
H (0.500, 0.000, 0.000)
H (0.000, 0.500, 0.000)

Computed properties:
space-group type: P4/mmm
raw total energy: -1.73 eV/atom



No. 24
Tb2ScPb | PBE | optimized geometry

Lattice parameters (Å, degrees): 5.352 5.352 5.349 59.98 59.98 60.00
Sites, in units of the cell vectors:
Tb (0.000, 0.000, 0.000)
Tb (0.250, 0.250, 0.250)
Sc (0.500, 0.500, 0.500)
Pb (0.750, 0.750, 0.750)

Computed properties:
ΔH_f (0 K): -8.1 kJ per mole of atoms
space-group type: F-43m



No. 25
NdEuPb | PBE | optimized geometry

Lattice parameters (Å, degrees): 5.444 5.444 5.444 60.00 60.00 60.00
Sites, in units of the cell vectors:
Pb (0.250, 0.250, 0.250)
Eu (0.500, 0.500, 0.500)
Nd (0.000, 0.000, 0.000)

Computed properties:
ΔH_f (0 K): -30.0 kJ per mole of atoms
space-group type: F-43m



No. 26
TbDy2HoEr6 | PBE | optimized geometry

Lattice parameters (Å, degrees): 9.464 8.674 8.674 117.96 94.03 94.03
Sites, in units of the cell vectors:
Tb (0.250, 0.977, 0.023)
Tb (0.750, 0.023, 0.977)
Dy (0.456, 0.804, 0.699)
Dy (0.044, 0.301, 0.196)
Dy (0.544, 0.196, 0.301)
Dy (0.956, 0.699, 0.804)
Ho (0.250, 0.409, 0.591)
Ho (0.750, 0.591, 0.409)
Er (0.057, 0.125, 0.750)
Er (0.443, 0.250, 0.875)
Er (0.943, 0.875, 0.250)
Er (0.557, 0.750, 0.125)
Er (0.316, 0.980, 0.429)
Er (0.184, 0.571, 0.020)
Er (0.684, 0.020, 0.571)
Er (0.816, 0.429, 0.980)
Er (0.120, 0.709, 0.495)
Er (0.380, 0.505, 0.291)
Er (0.880, 0.291, 0.505)
Er (0.620, 0.495, 0.709)

Computed properties:
ΔH_f (0 K): 11.7 kJ per mole of atoms
space-group type: C2/c